A plane-wave DFT calculation with PBE was carried out for an optimized crystal structure of Ag2Bi2O5.

The structure in POSCAR format:
```
Ag2Bi2O5
1.0
6.5966 -2.1027 0.0000
6.5966 2.1027 0.0000
-2.1368 0.0000 5.0530
Ag Bi O
2 2 5
Cartesian
0.5998 0.0000 2.0778
10.4566 0.0000 2.9752
4.8253 0.0000 0.2613
6.2311 0.0000 4.7917
0.0000 0.0000 0.0000
0.7106 0.0000 4.2730
3.5761 0.0000 3.2606
7.4803 0.0000 1.7924
10.3458 0.0000 0.7800
```

E_form (uncorrected), eV/atom: -0.62
Mass density, g cm⁻³: 8.45
Uncorrected energy, eV/atom: -4.869



A plane-wave DFT calculation with PBE was carried out for an optimized crystal structure of Zr2CoBr.

The structure in POSCAR format:
```
Zr2CoBr
1.0
0.0000 3.3284 3.3284
3.3284 0.0000 3.3284
3.3284 3.3284 0.0000
Zr Co Br
2 1 1
Cartesian
1.6642 1.6642 1.6642
4.9926 4.9926 4.9926
0.0000 0.0000 0.0000
3.3284 3.3284 3.3284
```

E_form (uncorrected), eV/atom: 0.07
Mass density, g cm⁻³: 7.23
Uncorrected energy, eV/atom: -6.397
ΔE to the lowest computed polymorph, eV per atom: 0.535



A plane-wave DFT calculation with PBE was carried out for an optimized crystal structure of ScMnBr.

The structure in POSCAR format:
```
ScMnBr
1.0
-1.6294 1.6294 6.4774
1.6294 -1.6294 6.4774
1.6294 1.6294 -6.4774
Sc Mn Br
1 1 1
Cartesian
0.0000 0.0000 0.0000
0.0000 0.0000 8.2615
0.0000 0.0000 4.7220
```

E_form (uncorrected), eV/atom: -0.19
Mass density, g cm⁻³: 4.34
Uncorrected energy, eV/atom: -5.919



A plane-wave DFT calculation with PBE was carried out for an optimized crystal structure of Ho2OsRh.

The structure in POSCAR format:
```
Ho2OsRh
1.0
1.6136 0.9316 9.4024
-1.6136 0.9316 9.4024
0.0000 -1.8632 9.4024
Ho Os Rh
2 1 1
Cartesian
0.0000 0.0000 2.5723
0.0000 0.0000 25.6348
0.0000 0.0000 14.1035
0.0000 0.0000 0.0000
```

E_form, eV per atom: 0.240
Mass density, g cm⁻³: 12.20
Uncorrected energy, eV/atom: -6.694